Here is a relaxed InFeCl5 crystal from Alexandria via LeMat-Bulk. Energies are from PBE.

The uncorrected formation energy is -876 meV/atom. The total magnetization comes out at 0.5716 μB/atom.

abc: 6.9379 6.9379 9.8113
angles: 111.07 111.07 88.24
With the nearest neighbours (Å) after each atom.
Atoms (fractional coordinates):
In (0.0000, 0.5000, 0.0000)  6 Cl 2.59-2.60
In (0.5000, 0.0000, 0.5000)  6 Cl 2.59-2.60
Fe (0.1316, 0.8684, 0.7500)  4 Cl 2.26-2.27
Fe (0.8684, 0.1316, 0.2500)  4 Cl 2.26-2.27
Cl (0.1675, 0.1911, 0.4616)  1 Fe 2.26
Cl (0.1728, 0.6002, 0.8358)  1 Fe 2.27
Cl (0.1911, 0.1675, 0.9616)  1 Fe 2.26
Cl (0.3293, 0.6707, 0.2500)  2 In 2.59
Cl (0.3998, 0.8272, 0.6642)  1 Fe 2.27
Cl (0.6002, 0.1728, 0.3358)  1 Fe 2.27
Cl (0.6707, 0.3293, 0.7500)  2 In 2.59
Cl (0.8089, 0.8325, 0.0384)  1 Fe 2.26
Cl (0.8272, 0.3998, 0.1642)  1 Fe 2.27
Cl (0.8325, 0.8089, 0.5384)  1 Fe 2.26